<i>
## CaTlCl (PBEsol)

Data for a relaxed CaTlCl crystal.

abc: 5.0882 5.0882 5.0882
angles: 60.00 60.00 60.00
Last column: nearest neighbours and their distance in Å.
Element x y z (fractional)
Ca1 0.0000 0.0000 0.0000  4 Tl 3.12, 4 Cl 3.12
Tl1 0.7500 0.7500 0.7500  4 Ca 3.12
Cl1 0.2500 0.2500 0.2500  4 Ca 3.12

The mass density comes out at 4.99 g/cm³. The density of states at the Fermi level comes out at 1.150 states/eV/atom. As for the space group: F-43m (216). Its magnetic moment is 0.0071 μB/atom.

---

<ii>
## CaTlCl (PBEsol)

Data for a relaxed CaTlCl crystal.

abc: 5.2123 5.2123 5.2123
angles: 60.00 60.00 60.00
Last column: nearest neighbours and their distance in Å.
Element x y z (fractional)
Ca1 0.0000 0.0000 0.0000  4 Tl 3.19
Tl1 0.7500 0.7500 0.7500  4 Cl 3.19, 4 Ca 3.19
Cl1 0.5000 0.5000 0.5000  4 Tl 3.19

The mass density comes out at 4.64 g/cm³. The density of states at the Fermi level comes out at 0.615 states/eV/atom. As for the space group: F-43m (216). Its magnetic moment is 0.0000 μB/atom.

---

Going by the computed energies, the most stable comes first: <i>, <ii>.

---

<i>
## CaWCl2 (PBEsol)

Data for a relaxed CaWCl2 crystal.

abc: 3.3072 3.3072 8.5964
angles: 90.00 90.00 125.58
Last column: nearest neighbours and their distance in Å.
Element x y z (fractional)
Ca1 0.0000 0.0000 0.0000  4 Cl 2.80, 2 Ca 3.02
W1 0.0000 0.0000 0.5000  4 Cl 2.46
Cl1 0.5000 0.5000 0.2748  2 W 2.46
Cl2 0.5000 0.5000 0.7252  2 W 2.46

The mass density comes out at 6.40 g/cm³. The density of states at the Fermi level comes out at 0.737 states/eV/atom. As for the space group: Cmmm (65). Its magnetic moment is 0.0003 μB/atom.

---

<ii>
## CaWCl2 (PBEsol)

Data for a relaxed CaWCl2 crystal.

abc: 4.5523 3.0194 5.5698
angles: 90.00 112.72 90.00
Last column: nearest neighbours and their distance in Å.
Element x y z (fractional)
Ca1 0.0000 0.0000 0.0000  6 Cl 2.73-2.78, 2 Ca 3.02
W1 0.5000 0.5000 0.5000  6 Cl 2.73-2.78, 2 W 3.02
Cl1 0.0000 0.0000 0.5000  4 W 2.73, 2 Ca 2.78, 2 Cl 3.02
Cl2 0.5000 0.5000 0.0000  4 Ca 2.73, 2 W 2.78, 2 Cl 3.02

The mass density comes out at 6.93 g/cm³. The density of states at the Fermi level comes out at 0.728 states/eV/atom. As for the space group: P2/m (10). Its magnetic moment is 0.0667 μB/atom.

---

Going by the computed energies, the most stable comes first: <ii>, <i>.

---

<i>
## CaWCl2 (PBEsol)

Data for a relaxed CaWCl2 crystal.

abc: 4.6224 4.6224 4.6224
angles: 60.00 60.00 60.00
Last column: nearest neighbours and their distance in Å.
Element x y z (fractional)
Ca1 0.0000 0.0000 0.0000  8 Cl 2.83
W1 0.5000 0.5000 0.5000  8 Cl 2.83
Cl1 0.2500 0.2500 0.2500  4 W 2.83, 4 Ca 2.83
Cl2 0.7500 0.7500 0.7500  4 Ca 2.83, 4 W 2.83

The mass density comes out at 7.01 g/cm³. The density of states at the Fermi level comes out at 0.659 states/eV/atom. As for the space group: Fm-3m (225). Its magnetic moment is 0.4869 μB/atom.

---

<ii>
## CaWCl2 (PBEsol)

Data for a relaxed CaWCl2 crystal.

abc: 3.0999 3.0999 8.4388
angles: 90.00 90.00 90.00
Last column: nearest neighbours and their distance in Å.
Element x y z (fractional)
Ca1 0.0000 0.0000 0.0000  4 Cl 2.72
W1 0.5000 0.5000 0.7078  4 Cl 2.54
Cl1 0.0000 0.0000 0.5552  4 W 2.54
Cl2 0.5000 0.5000 0.1899  4 Ca 2.72

The mass density comes out at 6.04 g/cm³. The density of states at the Fermi level comes out at 0.199 states/eV/atom. As for the space group: P4mm (99). Its magnetic moment is 0.0000 μB/atom.

---

Going by the computed energies, the most stable comes first: <ii>, <i>.

---

<i>
## CaW2Cl (PBEsol)

Data for a relaxed CaW2Cl crystal.

abc: 5.0171 5.0171 2.8252
angles: 90.00 90.00 90.00
Last column: nearest neighbours and their distance in Å.
Element x y z (fractional)
Ca1 0.0000 0.0000 0.0000  2 Ca 2.83, 8 W 2.88
W1 0.0000 0.5000 0.5000  2 W 2.83, 4 Cl 2.88, 4 Ca 2.88
W2 0.5000 0.0000 0.5000  2 W 2.83, 4 Cl 2.88, 4 Ca 2.88
Cl1 0.5000 0.5000 0.0000  2 Cl 2.83, 8 W 2.88

The mass density comes out at 10.35 g/cm³. The density of states at the Fermi level comes out at 1.301 states/eV/atom. As for the space group: P4/mmm (123). Its magnetic moment is 0.0000 μB/atom.

---

<ii>
## CaW2Cl (PBEsol)

Data for a relaxed CaW2Cl crystal.

abc: 6.4983 6.4983 4.2469
angles: 108.98 108.98 27.04
Last column: nearest neighbours and their distance in Å.
Element x y z (fractional)
Ca1 0.0000 0.0000 0.0000  4 Cl 2.61
W1 0.2321 0.2321 0.7323  4 W 2.64-2.65
W2 0.7679 0.7679 0.2677  4 W 2.64-2.65
Cl1 0.5000 0.5000 0.5000  4 Ca 2.61

The mass density comes out at 9.58 g/cm³. The density of states at the Fermi level comes out at 0.754 states/eV/atom. As for the space group: C2/m (12). Its magnetic moment is 0.0001 μB/atom.

---

Going by the computed energies, the most stable comes first: <ii>, <i>.

---

<i>
## Ca3WCl (PBEsol)

Data for a relaxed Ca3WCl crystal.

abc: 5.4211 5.4211 5.4211
angles: 90.00 90.00 90.00
Last column: nearest neighbours and their distance in Å.
Element x y z (fractional)
Ca1 0.0000 0.0000 0.5000  2 W 2.71
Ca2 0.0000 0.5000 0.0000  2 W 2.71
Ca3 0.5000 0.0000 0.0000  2 W 2.71
W1 0.0000 0.0000 0.0000  6 Ca 2.71
Cl1 0.5000 0.5000 0.5000  12 Ca 3.83

The mass density comes out at 3.54 g/cm³. The density of states at the Fermi level comes out at 0.868 states/eV/atom. As for the space group: Pm-3m (221). Its magnetic moment is 0.0000 μB/atom.

---

<ii>
## Ca3WCl (PBEsol)

Data for a relaxed Ca3WCl crystal.

abc: 5.1887 5.1887 5.1887
angles: 90.00 90.00 90.00
Last column: nearest neighbours and their distance in Å.
Element x y z (fractional)
Ca1 0.0000 0.0000 0.5000  2 Cl 2.59
Ca2 0.0000 0.5000 0.0000  2 Cl 2.59
Ca3 0.5000 0.0000 0.0000  2 Cl 2.59
W1 0.5000 0.5000 0.5000  12 Ca 3.67
Cl1 0.0000 0.0000 0.0000  6 Ca 2.59

The mass density comes out at 4.04 g/cm³. The density of states at the Fermi level comes out at 1.210 states/eV/atom. As for the space group: Pm-3m (221). Its magnetic moment is 0.6279 μB/atom.

---

Going by the computed energies, the most stable comes first: <ii>, <i>.

---

<i>
## CaYCl2 (PBEsol)

Data for a relaxed CaYCl2 crystal.

abc: 8.9913 8.9913 8.9913
angles: 24.21 24.21 24.21
Last column: nearest neighbours and their distance in Å.
Element x y z (fractional)
Ca1 0.0000 0.0000 0.0000  6 Cl 2.70
Y1 0.5000 0.5000 0.5000  2 Cl 2.76
Cl1 0.3946 0.3946 0.3946  3 Ca 2.70, 1 Y 2.76
Cl2 0.6054 0.6054 0.6054  3 Ca 2.70, 1 Y 2.76

The mass density comes out at 3.09 g/cm³. The density of states at the Fermi level comes out at 0.951 states/eV/atom. As for the space group: R-3m (166). Its magnetic moment is 0.0598 μB/atom.

---

<ii>
## CaYCl2 (PBEsol)

Data for a relaxed CaYCl2 crystal.

abc: 4.8309 4.8309 3.4287
angles: 90.00 90.00 90.00
Last column: nearest neighbours and their distance in Å.
Element x y z (fractional)
Ca1 0.0000 0.0000 0.0000  8 Cl 2.96
Y1 0.5000 0.5000 0.0000  8 Cl 2.96
Cl1 0.0000 0.5000 0.5000  4 Ca 2.96, 4 Y 2.96
Cl2 0.5000 0.0000 0.5000  4 Ca 2.96, 4 Y 2.96

The mass density comes out at 4.15 g/cm³. The density of states at the Fermi level comes out at 0.805 states/eV/atom. As for the space group: P4/mmm (123). Its magnetic moment is 0.0033 μB/atom.

---

Going by the computed energies, the most stable comes first: <i>, <ii>.

---

<i>
## CaCr2Co (PBEsol)

Data for a relaxed CaCr2Co crystal.

abc: 4.7412 4.7412 4.9734
angles: 101.88 101.88 34.97
Last column: nearest neighbours and their distance in Å.
Element x y z (fractional)
Ca1 0.0000 0.0000 0.0000  2 Ca 2.85, 4 Co 2.87, 6 Cr 2.95-3.17
Cr1 0.2139 0.2139 0.6293  2 Cr 2.11
Cr2 0.7861 0.7861 0.3707  2 Cr 2.11
Co1 0.5000 0.5000 0.5000  4 Cr 2.38

The mass density comes out at 5.39 g/cm³. The density of states at the Fermi level comes out at 0.911 states/eV/atom. As for the space group: C2/m (12). Its magnetic moment is 0.0000 μB/atom.

---

<ii>
## CaCr2Co (PBEsol)

Data for a relaxed CaCr2Co crystal.

abc: 4.4247 4.4247 5.5358
angles: 103.65 103.65 36.81
Last column: nearest neighbours and their distance in Å.
Element x y z (fractional)
Ca1 0.0000 0.0000 0.0000  2 Ca 2.79, 3 Co 2.89-2.94, 3 Cr 3.01-3.05
Cr1 0.5025 0.5025 0.5115  2 Cr 2.16, 2 Co 2.35
Cr2 0.8025 0.8025 0.3849  2 Cr 2.16, 2 Co 2.33
Co1 0.2285 0.2285 0.6753  4 Cr 2.33-2.35

The mass density comes out at 5.36 g/cm³. The density of states at the Fermi level comes out at 0.866 states/eV/atom. As for the space group: Cm (8). Its magnetic moment is 0.0005 μB/atom.

---

Going by the computed energies, the most stable comes first: <i>, <ii>.

---

<i>
## CaCoIN2 (PBEsol)

Data for a relaxed CaCoIN2 crystal.

abc: 4.3612 4.3612 6.0734
angles: 90.00 90.00 90.00
Last column: nearest neighbours and their distance in Å.
Element x y z (fractional)
Ca1 0.0000 0.0000 0.0000  4 N 2.18
Co1 0.5000 0.5000 0.5000  4 I 3.08
I1 0.0000 0.0000 0.5000  2 Ca 3.04, 4 Co 3.08
N1 0.0000 0.5000 0.0000  2 Ca 2.18
N2 0.5000 0.0000 0.0000  2 Ca 2.18

The mass density comes out at 3.65 g/cm³. The density of states at the Fermi level comes out at 1.228 states/eV/atom. As for the space group: P4/mmm (123). Its magnetic moment is 1.2188 μB/atom.

---

<ii>
## CaCoIN2 (PBEsol)

Data for a relaxed CaCoIN2 crystal.

abc: 3.9663 3.9663 5.1044
angles: 90.00 90.00 90.00
Last column: nearest neighbours and their distance in Å.
Element x y z (fractional)
Ca1 0.0000 0.0000 0.0000  4 I 2.80
Co1 0.5000 0.5000 0.5000  4 N 1.98
I1 0.5000 0.5000 0.0000  2 Co 2.55, 4 Ca 2.80
N1 0.0000 0.5000 0.5000  2 Co 1.98
N2 0.5000 0.0000 0.5000  2 Co 1.98

The mass density comes out at 5.25 g/cm³. The density of states at the Fermi level comes out at 0.443 states/eV/atom. As for the space group: P4/mmm (123). Its magnetic moment is 0.6954 μB/atom.

---

Going by the computed energies, the most stable comes first: <ii>, <i>.